The following is a PBE calculation of a relaxed structure of La3HoTm2Bi6, from the Alexandria database.

Unit cell a=7.9437 b=13.7578 c=7.8913 alpha=90.00 beta=109.58 gamma=90.00
Space group C2/m (No. 12)
Inequivalent atoms, fractional coordinates:
La  0.0000  0.0000  0.0000 x2
La  0.0000  0.3337  0.0000 x4
Ho  0.0000  0.5000  0.5000 x2
Tm  0.0000  0.1667  0.5000 x4
Bi  0.2437  0.0000  0.7344 x4
Bi  0.2455  0.3328  0.7347 x8

The following is a PBE calculation of a relaxed structure of LiHo8Bi6, from the Alexandria database.

Unit cell a=8.4361 b=8.4361 c=23.6127 alpha=90.00 beta=90.00 gamma=120.00
Space group R-3 (No. 148, hexagonal axes)
Inequivalent atoms, fractional coordinates:
Li  0.0000  0.0000  0.0000 x3
Ho  0.0000  0.0000  0.3337 x6
Ho  0.0044  0.6965  0.1204 x18
Bi  0.0028  0.6503  0.9310 x18

The following is a PBE calculation of a relaxed structure of LiHo3Bi3, from the Alexandria database.

Unit cell a=9.0586 b=9.0586 c=18.6418 alpha=90.00 beta=90.00 gamma=120.00
Space group R-3 (No. 148, hexagonal axes)
Inequivalent atoms, fractional coordinates:
Li  0.0000  0.0000  0.1712 x6
Ho  0.0075  0.2744  0.5824 x18
Bi  0.0113  0.3889  0.4174 x18

The following is a PBE calculation of a relaxed structure of LiHo4Bi2, from the Alexandria database.

Unit cell a=7.6003 b=6.4782 c=8.7424 alpha=90.00 beta=112.07 gamma=90.00
Space group P2_1/m (No. 11)
Inequivalent atoms, fractional coordinates:
Li  0.0463  0.2500  0.2967 x2
Ho  0.1988  0.7500  0.1143 x2
Ho  0.3357  0.0008  0.7850 x4
Ho  0.4760  0.2500  0.4724 x2
Bi  0.0858  0.7500  0.4277 x2
Bi  0.2568  0.2500  0.0767 x2

The following is a PBE calculation of a relaxed structure of LiHo5Bi2, from the Alexandria database.

Unit cell a=4.1485 b=11.6876 c=18.5791 alpha=90.00 beta=90.00 gamma=90.00
Space group Cmcm (No. 63)
Inequivalent atoms, fractional coordinates:
Li  0.0000  0.1728  0.2500 x4
Ho  0.0000  0.0510  0.1080 x8
Ho  0.0000  0.3547  0.0299 x8
Ho  0.0000  0.4375  0.2500 x4
Bi  0.0000  0.2394  0.6495 x8

The following is a PBE calculation of a relaxed structure of Li4HoBi2, from the Alexandria database.

Unit cell a=8.1732 b=8.1732 c=4.5771 alpha=90.00 beta=90.00 gamma=90.00
Space group P4_2/mnm (No. 136)
Inequivalent atoms, fractional coordinates:
Li  0.1031  0.3479  0.0000 x8
Ho  0.0000  0.0000  0.5000 x2
Bi  0.2082  0.7918  0.0000 x4

The evaluated ΔH_f (0 K) for the records listed, in turn: -0.92, -0.44, -0.59, -0.34, -0.32, -0.52 eV per atom.
The evaluated V for the records listed, in turn: 33.86, 32.34, 31.54, 28.49, 28.15, 21.84 Å³/atom.